No. 1
A relaxed structure of Ho5NiBi4. Source: Alexandria via LeMat-Bulk, functional PBE.

Structure (extended XYZ):
```
10
Lattice="-4.870 4.870 3.131 4.870 -4.870 3.131 4.870 4.870 -3.131" Properties=species:S:1:pos:R:3 pbc="T T T"
Ho 0.000 0.000 0.000
Ho 3.919 2.121 -0.691
Ho 2.749 -0.951 2.440
Ho 2.121 5.821 -0.691
Ho 0.951 2.749 2.440
Ni 0.000 0.000 2.650
Bi 5.756 -1.949 2.433
Bi 3.984 1.949 2.433
Bi -1.949 3.984 2.433
Bi 1.949 5.756 2.433
```

Calculated values
crystal system: tetragonal
calculated formation energy: -0.591 eV/atom
total magnetization: 0.00 μB/atom
density of states at the Fermi level: 6.68 states/eV/f.u.
SG: I4, No. 79
VASP energy: -5.010 eV per atom


No. 2
A relaxed structure of Pm3Ga9Ni2. Source: Alexandria via LeMat-Bulk, functional PBE.

Structure (extended XYZ):
```
14
Lattice="-2.121 4.962 6.166 2.121 -4.962 6.166 2.121 4.962 -6.166" Properties=species:S:1:pos:R:3 pbc="T T T"
Pm 0.000 0.000 0.000
Pm 0.000 0.000 3.938
Pm 0.000 0.000 8.395
Ga 2.121 -1.311 1.999
Ga 2.121 -2.201 4.638
Ga 2.121 1.311 1.999
Ga 0.000 2.761 1.528
Ga 0.000 4.962 0.000
Ga 2.121 2.201 4.638
Ga 0.000 3.651 4.168
Ga 0.000 7.163 1.528
Ga 0.000 6.273 4.168
Ni 2.121 2.758 0.000
Ni 0.000 2.205 6.166
```

Calculated values
crystal system: orthorhombic
calculated formation energy: -0.574 eV/atom
total magnetization: 0.00 μB/atom
density of states at the Fermi level: 4.80 states/eV/f.u.
SG: Immm, No. 71
VASP energy: -4.364 eV per atom


No. 3
A relaxed structure of CsInBrCl2. Source: Alexandria via LeMat-Bulk, functional PBE.

Structure (extended XYZ):
```
5
Lattice="5.518 0.000 0.000 0.000 5.518 0.000 0.000 0.000 5.703" Properties=species:S:1:pos:R:3 pbc="T T T"
Cs 0.000 0.000 0.000
In 2.759 2.759 2.852
Br 2.759 2.759 0.000
Cl 0.000 2.759 2.852
Cl 2.759 0.000 2.852
```

Calculated values
crystal system: tetragonal
uncorrected formation energy: -6.7 eV per formula unit
total magnetization: 0.00 μB/atom
density of states at the Fermi level: 1.34 states/eV/f.u.
SG: P4/mmm, No. 123
VASP energy: -3.133 eV per atom


No. 4
A relaxed structure of Ti2In4Pd. Source: Alexandria via LeMat-Bulk, functional PBE.

Structure (extended XYZ):
```
7
Lattice="-3.422 3.422 3.165 3.422 -3.422 3.165 3.422 3.422 -3.165" Properties=species:S:1:pos:R:3 pbc="T T T"
Ti 3.422 0.000 0.000
Ti 0.000 3.422 0.000
In 1.711 1.711 -1.583
In 1.711 -1.711 1.583
In -1.711 1.711 1.583
In 1.711 1.711 1.583
Pd 0.000 0.000 0.000
```

Calculated values
crystal system: tetragonal
calculated formation energy: -0.150 eV/atom
total magnetization: 0.00 μB/atom
density of states at the Fermi level: 6.50 states/eV/f.u.
SG: I4/mmm, No. 139
VASP energy: -4.712 eV per atom


> Which formula does entry 4 have?

Ti2In4Pd


> What is the total magnetization in the fourth record?

0.00 μB/atom


> Number 2 is which compound?

Pm3Ga9Ni2


> Look up the VASP energy of the first one.

-5.010 eV per atom